The following is a PBE calculation of crystalline LaTmGaIr at its relaxed geometry, from the Alexandria database.

The value obtained for the formation energy is -0.5876 eV/atom. The calculation puts the total magnetic moment at 0.0 μB per cell. Its density is 10.35 g cm⁻³. As for the total energy: -5.9093 eV per atom. The crystal system is cubic.

Unit cell a=7.1512 b=7.1512 c=7.1512 alpha=90.00 beta=90.00 gamma=90.00
Space group F-43m (No. 216)
Inequivalent atoms, fractional coordinates:
La (0.0000, 0.0000, 0.0000)
Tm (0.0000, 0.0000, 0.5000)
Ga (0.2500, 0.2500, 0.2500)
Ir (0.2500, 0.2500, 0.7500)

The following is a PBE calculation of crystalline YRuO2 at its relaxed geometry, from the Alexandria database.

The calculation puts the excess energy over the best structure of this formula in the dataset at 0 meV per atom. The calculation puts the total magnetic moment at 6.5 μB per cell. Its density is 5.93 g cm⁻³. As for the total energy: -8.2287 eV per atom. Its uncorrected formation energy is -1.815 eV/atom. The crystal system is trigonal.

Unit cell a=3.4380 b=3.4380 c=18.2277 alpha=90.00 beta=90.00 gamma=120.00
Space group R-3m (No. 166, hexagonal axes)
Inequivalent atoms, fractional coordinates:
Y (0.0000, 0.0000, 0.0000)
Ru (0.0000, 0.0000, 0.5000)
O (0.0000, 0.0000, 0.3913)

The following is a PBE calculation of crystalline SrRhSe2Br at its relaxed geometry, from the Alexandria database.

The calculation puts the excess energy over the best structure of this formula in the dataset at 1234 meV per atom. The calculation puts the total magnetic moment at 3.9 μB per cell. Its density is 3.61 g cm⁻³. As for the total energy: -3.0553 eV per atom. Its uncorrected formation energy is 0.480 eV/atom. The crystal system is tetragonal.

Unit cell a=5.8611 b=5.8611 c=5.7288 alpha=90.00 beta=90.00 gamma=90.00
Space group P4/mmm (No. 123)
Inequivalent atoms, fractional coordinates:
Sr (0.0000, 0.0000, 0.0000)
Rh (0.5000, 0.5000, 0.5000)
Se (0.0000, 0.5000, 0.0000)
Br (0.0000, 0.0000, 0.5000)

The following is a PBE calculation of crystalline SrHfPaO6 at its relaxed geometry, from the Alexandria database.

The calculation puts the total magnetic moment at 1.9 μB per cell. Its density is 6.63 g cm⁻³. As for the total energy: -8.8017 eV per atom. Its uncorrected formation energy is -3.148 eV/atom. The crystal system is trigonal.

Unit cell a=5.7510 b=5.7510 c=10.3780 alpha=90.00 beta=90.00 gamma=120.00
Space group P-31c (No. 163)
Inequivalent atoms, fractional coordinates:
Sr (0.0000, 0.0000, 0.0000)
Hf (0.3333, 0.6667, 0.2500)
Pa (0.3333, 0.6667, 0.7500)
O (0.0089, 0.3730, 0.1442)

The following is a PBE calculation of crystalline Sr2Zn2Cu at its relaxed geometry, from the Alexandria database.

The value obtained for the formation energy is -0.0184 eV/atom. The calculation puts the excess energy over the best structure of this formula in the dataset at 157 meV per atom. The calculation puts the total magnetic moment at 0.0 μB per cell. Its density is 4.62 g cm⁻³. As for the total energy: -2.0199 eV per atom. The crystal system is tetragonal.

Unit cell a=7.3772 b=7.3772 c=4.8825 alpha=90.00 beta=90.00 gamma=90.00
Space group P4/mbm (No. 127)
Inequivalent atoms, fractional coordinates:
Sr (0.1837, 0.3163, 0.0000)
Zn (0.1233, 0.6233, 0.5000)
Cu (0.0000, 0.0000, 0.5000)

The following is a PBE calculation of crystalline TlBi3Pb at its relaxed geometry, from the Alexandria database.

The value obtained for the formation energy is 0.6198 eV/atom. The calculation puts the excess energy over the best structure of this formula in the dataset at 618 meV per atom. The calculation puts the total magnetic moment at 0.0 μB per cell. Its density is 8.02 g cm⁻³. As for the total energy: -2.9237 eV per atom. The crystal system is cubic.

Unit cell a=5.9912 b=5.9912 c=5.9912 alpha=90.00 beta=90.00 gamma=90.00
Space group Pm-3m (No. 221)
Inequivalent atoms, fractional coordinates:
Tl (0.0000, 0.0000, 0.0000)
Bi (0.0000, 0.5000, 0.5000)
Pb (0.5000, 0.5000, 0.5000)

The following is a PBE calculation of crystalline ReTe2Se at its relaxed geometry, from the Alexandria database.

The calculation puts the total magnetic moment at 3.0 μB per cell. Its density is 7.83 g cm⁻³. As for the total energy: -5.1306 eV per atom. Its uncorrected formation energy is 0.423 eV/atom. The crystal system is trigonal.

Unit cell a=3.8722 b=3.8722 c=25.4808 alpha=90.00 beta=90.00 gamma=120.00
Space group R-3m (No. 166, hexagonal axes)
Inequivalent atoms, fractional coordinates:
Re (0.0000, 0.0000, 0.0000)
Te (0.0000, 0.0000, 0.3941)
Se (0.0000, 0.0000, 0.5000)

The following is a PBE calculation of crystalline Na2Cu5Si4O14 at its relaxed geometry, from the Alexandria database.

The calculation puts the excess energy over the best structure of this formula in the dataset at 0 meV per atom. The calculation puts the total magnetic moment at 4.9 μB per cell. Its density is 3.66 g cm⁻³. As for the total energy: -6.3192 eV per atom. Its uncorrected formation energy is -1.750 eV/atom. The crystal system is triclinic.

Unit cell a=5.8856 b=7.9968 c=8.2235 alpha=114.72 beta=94.25 gamma=110.59
Space group P-1 (No. 2)
Inequivalent atoms, fractional coordinates:
Na (0.1427, 0.3688, 0.0614)
Cu (0.0000, 0.5000, 0.5000)
Cu (0.1289, 0.9345, 0.7687)
Cu (0.3076, 0.8933, 0.3203)
Si (0.2417, 0.2586, 0.6378)
Si (0.3954, 0.7099, 0.9136)
O (0.0503, 0.1405, 0.7320)
O (0.0813, 0.2779, 0.4795)
O (0.1831, 0.7012, 0.7607)
O (0.2638, 0.6936, 0.0774)
O (0.3200, 0.1161, 0.0213)
O (0.4181, 0.1402, 0.5548)
O (0.4245, 0.4919, 0.7989)